Computed, not measured: a geometry-optimized La2ScHgSe5 structure at the PBE level of DFT.

Properties
- DOS at the Fermi energy (states/eV per cell) = 4.99
- formation energy (no corrections) (eV/f.u.) = -13.5
- E_tot (eV per atom) = -5.271

Cell lengths 4.1258, 9.1334, 12.6330 Å; angles 90.00, 90.00, 103.05 degrees
Fractional positions:
Se: 0.4936 0.9872 0.7624
Se: 0.5064 0.0128 0.2624
Se: 0.6936 0.3872 0.8586
Se: 0.3532 0.7064 0.0027
Se: 0.2884 0.5767 0.6595
Se: 0.0527 0.1053 0.0779
Se: 0.6468 0.2936 0.5027
Se: 0.9473 0.8947 0.5779
Se: 0.3064 0.6128 0.3586
Se: 0.7116 0.4233 0.1595
Sc: 0.2010 0.4020 0.0113
Sc: 0.7990 0.5980 0.5113
La: 0.1198 0.2395 0.6889
La: 0.8639 0.7278 0.8078
La: 0.1361 0.2722 0.3078
La: 0.8802 0.7605 0.1889
Hg: 0.4622 0.9244 0.4548
Hg: 0.5378 0.0756 0.9548

Computed, not measured: a geometry-optimized Li2TlFeCl structure at the PBE level of DFT.

Properties
- DOS at the Fermi energy (states/eV per cell) = 5.72
- formation energy (no corrections) (eV/f.u.) = 0.0
- E_tot (eV per atom) = -3.296

Cell lengths 4.5359, 4.2246, 4.5359 Å; angles 90.00, 90.00, 90.00 degrees
Fractional positions:
Tl: 0.5000 0.5000 0.5000
Li: 0.5000 0.0000 0.0000
Li: 0.0000 0.0000 0.5000
Cl: 0.0000 0.0000 0.0000
Fe: 0.0000 0.5000 0.0000